(1)
Here is an optimized crystal structure of Tm2NbTe from Alexandria via LeMat-Bulk. Energies are from GGA-PBE.

Structure (CIF):
```
data_Tm2NbTe
_space_group_name_H-M_alt 'P 1'
_space_group_IT_number 1
_space_group_name_Hall 'P 1'
_cell_length_a 3.5950
_cell_length_b 3.5950
_cell_length_c 10.1431
_cell_angle_alpha 79.79
_cell_angle_beta 79.79
_cell_angle_gamma 60.00
loop_
_atom_site_label
_atom_site_type_symbol
_atom_site_fract_x
_atom_site_fract_y
_atom_site_fract_z
Nb1 Nb 0.0000 0.0000 0.0000
Tm1 Tm 0.0945 0.0945 0.7165
Tm2 Tm 0.9055 0.9055 0.2835
Te1 Te 0.5000 0.5000 0.5000
```

Summary:
Formation energy from raw total energies, eV/atom: 0.306
Final energy, eV per atom: -5.2327
DOS(E_F), states/eV per atom: 1.38

=====

(2)
Here is an optimized crystal structure of TmNbTe from Alexandria via LeMat-Bulk. Energies are from GGA-PBE.

Structure (CIF):
```
data_TmNbTe
_space_group_name_H-M_alt 'P 1'
_space_group_IT_number 1
_space_group_name_Hall 'P 1'
_cell_length_a 3.8704
_cell_length_b 3.8704
_cell_length_c 10.3126
_cell_angle_alpha 90.00
_cell_angle_beta 90.00
_cell_angle_gamma 90.00
loop_
_atom_site_label
_atom_site_type_symbol
_atom_site_fract_x
_atom_site_fract_y
_atom_site_fract_z
Tm1 Tm 0.5000 0.0000 0.7584
Tm2 Tm 0.0000 0.5000 0.2416
Te1 Te 0.5000 0.0000 0.3580
Te2 Te 0.0000 0.5000 0.6420
Nb1 Nb 0.0000 0.5000 0.9448
Nb2 Nb 0.5000 0.0000 0.0552
```

Summary:
Formation energy from raw total energies, eV/atom: -0.578
Final energy, eV per atom: -6.4728
DOS(E_F), states/eV per atom: 0.54

=====

(3)
Here is an optimized crystal structure of UNb2Te5 from Alexandria via LeMat-Bulk. Energies are from GGA-PBE.

Structure (CIF):
```
data_UNb2Te5
_space_group_name_H-M_alt 'P 1'
_space_group_IT_number 1
_space_group_name_Hall 'P 1'
_cell_length_a 6.0973
_cell_length_b 9.2581
_cell_length_c 7.1878
_cell_angle_alpha 74.38
_cell_angle_beta 64.90
_cell_angle_gamma 50.58
loop_
_atom_site_label
_atom_site_type_symbol
_atom_site_fract_x
_atom_site_fract_y
_atom_site_fract_z
Nb1 Nb 0.7848 0.5000 0.9303
Nb2 Nb 0.2152 0.5000 0.0697
Te1 Te 0.2380 0.7761 0.8379
Te2 Te 0.7620 0.2239 0.1621
Te3 Te 0.5759 0.7761 0.1621
Te4 Te 0.4241 0.2239 0.8379
Te5 Te 0.0000 0.5000 0.5000
U1 U 0.5000 0.5000 0.5000
```

Summary:
Formation energy from raw total energies, eV/atom: -0.286
Final energy, eV per atom: -6.1775
DOS(E_F), states/eV per atom: 1.01

=====

(4)
Here is an optimized crystal structure of UNb4Te8 from Alexandria via LeMat-Bulk. Energies are from GGA-PBE.

Structure (CIF):
```
data_UNb4Te8
_space_group_name_H-M_alt 'P 1'
_space_group_IT_number 1
_space_group_name_Hall 'P 1'
_cell_length_a 7.6829
_cell_length_b 7.6829
_cell_length_c 8.5053
_cell_angle_alpha 90.00
_cell_angle_beta 116.85
_cell_angle_gamma 120.00
loop_
_atom_site_label
_atom_site_type_symbol
_atom_site_fract_x
_atom_site_fract_y
_atom_site_fract_z
Nb1 Nb 0.5000 0.0000 0.0000
Nb2 Nb 0.0000 0.5000 0.0000
Nb3 Nb 0.5000 0.5000 0.0000
Nb4 Nb 0.0000 0.0000 0.0000
Te1 Te 0.0033 0.2412 0.2446
Te2 Te 0.5175 0.7588 0.7554
Te3 Te 0.9967 0.2379 0.7554
Te4 Te 0.4825 0.2412 0.2446
Te5 Te 0.9967 0.7588 0.7554
Te6 Te 0.5041 0.2520 0.7561
Te7 Te 0.0033 0.7621 0.2446
Te8 Te 0.4959 0.7480 0.2439
U1 U 0.0000 0.5000 0.5000
```

Summary:
Formation energy from raw total energies, eV/atom: -0.348
Final energy, eV per atom: -6.2483
DOS(E_F), states/eV per atom: 0.87

=====

(5)
Here is an optimized crystal structure of NbV3Te6 from Alexandria via LeMat-Bulk. Energies are from GGA-PBE.

Structure (CIF):
```
data_NbV3Te6
_space_group_name_H-M_alt 'P 1'
_space_group_IT_number 1
_space_group_name_Hall 'P 1'
_cell_length_a 3.6839
_cell_length_b 11.4241
_cell_length_c 11.6996
_cell_angle_alpha 110.24
_cell_angle_beta 90.00
_cell_angle_gamma 90.00
loop_
_atom_site_label
_atom_site_type_symbol
_atom_site_fract_x
_atom_site_fract_y
_atom_site_fract_z
Te1 Te 0.2500 0.0970 0.8918
Te2 Te 0.2500 0.6348 0.9305
Te3 Te 0.7500 0.3652 0.0695
Te4 Te 0.7500 0.7184 0.2797
Te5 Te 0.7500 0.1117 0.4675
Te6 Te 0.2500 0.8883 0.5325
Te7 Te 0.2500 0.2816 0.7203
Te8 Te 0.2500 0.5078 0.3709
Te9 Te 0.2500 0.1686 0.2457
Te10 Te 0.7500 0.8314 0.7543
Te11 Te 0.7500 0.4922 0.6291
Te12 Te 0.7500 0.9030 0.1082
Nb1 Nb 0.7500 0.0656 0.6961
Nb2 Nb 0.2500 0.9344 0.3039
V1 V 0.7500 0.6724 0.5084
V2 V 0.2500 0.5395 0.1097
V3 V 0.2500 0.3276 0.4916
V4 V 0.2500 0.8907 0.9402
V5 V 0.7500 0.4605 0.8903
V6 V 0.7500 0.1093 0.0598
```

Summary:
Formation energy from raw total energies, eV/atom: -0.135
Final energy, eV per atom: -5.7621
DOS(E_F), states/eV per atom: 0.76

=====

(6)
Here is an optimized crystal structure of NbV3Te8 from Alexandria via LeMat-Bulk. Energies are from GGA-PBE.

Structure (CIF):
```
data_NbV3Te8
_space_group_name_H-M_alt 'P 1'
_space_group_IT_number 1
_space_group_name_Hall 'P 1'
_cell_length_a 7.2608
_cell_length_b 7.2622
_cell_length_c 8.5089
_cell_angle_alpha 115.50
_cell_angle_beta 90.00
_cell_angle_gamma 119.99
loop_
_atom_site_label
_atom_site_type_symbol
_atom_site_fract_x
_atom_site_fract_y
_atom_site_fract_z
V1 V 0.5000 0.0000 0.0000
V2 V 0.5000 0.5000 0.0000
V3 V 0.0000 0.5000 0.0000
Te1 Te 0.7391 0.9913 0.2414
Te2 Te 0.2548 0.5095 0.7664
Te3 Te 0.2609 0.0087 0.7586
Te4 Te 0.2522 0.9913 0.2414
Te5 Te 0.7452 0.4905 0.2336
Te6 Te 0.7478 0.0087 0.7586
Te7 Te 0.2522 0.5043 0.2413
Te8 Te 0.7478 0.4957 0.7587
Nb1 Nb 0.0000 0.0000 0.0000
```

Summary:
Formation energy from raw total energies, eV/atom: -0.340
Final energy, eV per atom: -5.5535
DOS(E_F), states/eV per atom: 0.32